No. 1
## La2MnSb3Pt4 (PBE)

Data for an optimized crystal structure of La2MnSb3Pt4.

Values from the calculation:
E_form (uncorrected), eV per atom: -0.84

```
data_La2MnSb3Pt4
_chemical_formula_sum 'La2 Mn1 Sb3 Pt4'
_space_group_name_H-M_alt 'P 1'
_space_group_IT_number 1
_space_group_name_Hall 'P 1'
_cell_length_a 4.554
_cell_length_b 4.554
_cell_length_c 10.760
_cell_angle_alpha 90.00
_cell_angle_beta 90.00
_cell_angle_gamma 90.00
loop_
_atom_site_label
_atom_site_type_symbol
_atom_site_fract_x
_atom_site_fract_y
_atom_site_fract_z
_atom_site_occupancy
Pt1 Pt 0.500 0.000 0.625 1
La1 La 0.000 0.500 0.757 1
Pt2 Pt 0.000 0.500 0.375 1
La2 La 0.500 0.000 0.243 1
Sb1 Sb 0.000 0.500 0.134 1
Sb2 Sb 0.000 0.000 0.500 1
Pt3 Pt 0.500 0.500 0.000 1
Sb3 Sb 0.500 0.000 0.866 1
Mn1 Mn 0.500 0.500 0.500 1
Pt4 Pt 0.000 0.000 0.000 1
```

***

No. 2
## Rb2BaAs (PBE)

Data for an optimized crystal structure of Rb2BaAs.

Values from the calculation:
Energy of formation, eV/atom: -0.120

```
data_Rb2BaAs
_chemical_formula_sum 'Rb4 Ba2 As2'
_space_group_name_H-M_alt 'P 1'
_space_group_IT_number 1
_space_group_name_Hall 'P 1'
_cell_length_a 5.137
_cell_length_b 5.137
_cell_length_c 14.068
_cell_angle_alpha 79.48
_cell_angle_beta 79.48
_cell_angle_gamma 90.00
loop_
_atom_site_label
_atom_site_type_symbol
_atom_site_fract_x
_atom_site_fract_y
_atom_site_fract_z
_atom_site_occupancy
As1 As 0.500 0.500 0.000 1
Rb1 Rb 0.375 0.409 0.750 1
As2 As 0.250 0.750 0.500 1
Rb2 Rb 0.591 0.125 0.250 1
Ba1 Ba 0.000 0.000 0.000 1
Ba2 Ba 0.750 0.250 0.500 1
Rb3 Rb 0.875 0.841 0.750 1
Rb4 Rb 0.159 0.625 0.250 1
```

***

No. 3
## K2YIrO6 (PBE)

Data for an optimized crystal structure of K2YIrO6.

Values from the calculation:
E_form (uncorrected), eV per atom: -1.70

```
data_K2YIrO6
_chemical_formula_sum 'K2 Y1 Ir1 O6'
_space_group_name_H-M_alt 'P 1'
_space_group_IT_number 1
_space_group_name_Hall 'P 1'
_cell_length_a 5.893
_cell_length_b 5.893
_cell_length_c 5.893
_cell_angle_alpha 60.00
_cell_angle_beta 60.00
_cell_angle_gamma 60.00
loop_
_atom_site_label
_atom_site_type_symbol
_atom_site_fract_x
_atom_site_fract_y
_atom_site_fract_z
_atom_site_occupancy
O1 O 0.770 0.770 0.230 1
O2 O 0.770 0.230 0.230 1
Ir1 Ir 0.000 0.000 0.000 1
Y1 Y 0.500 0.500 0.500 1
O3 O 0.230 0.230 0.770 1
O4 O 0.770 0.230 0.770 1
O5 O 0.230 0.770 0.230 1
O6 O 0.230 0.770 0.770 1
K1 K 0.750 0.750 0.750 1
K2 K 0.250 0.250 0.250 1
```

***

No. 4
## Na2LiZn2Au5 (PBE)

Data for an optimized crystal structure of Na2LiZn2Au5.

Values from the calculation:
Energy of formation, eV/atom: -0.306

```
data_Na2LiZn2Au5
_chemical_formula_sum 'Na4 Li2 Zn4 Au10'
_space_group_name_H-M_alt 'P 1'
_space_group_IT_number 1
_space_group_name_Hall 'P 1'
_cell_length_a 3.358
_cell_length_b 10.613
_cell_length_c 10.613
_cell_angle_alpha 90.00
_cell_angle_beta 90.00
_cell_angle_gamma 90.00
loop_
_atom_site_label
_atom_site_type_symbol
_atom_site_fract_x
_atom_site_fract_y
_atom_site_fract_z
_atom_site_occupancy
Au1 Au 0.500 0.690 0.443 1
Au2 Au 0.500 0.557 0.690 1
Li1 Li 0.000 0.000 0.000 1
Zn1 Zn 0.000 0.367 0.133 1
Au3 Au 0.500 0.500 0.000 1
Zn2 Zn 0.000 0.133 0.633 1
Au4 Au 0.500 0.810 0.943 1
Na1 Na 0.000 0.327 0.827 1
Zn3 Zn 0.000 0.867 0.367 1
Au5 Au 0.500 0.443 0.310 1
Au6 Au 0.500 0.000 0.500 1
Na2 Na 0.000 0.173 0.327 1
Au7 Au 0.500 0.943 0.190 1
Au8 Au 0.500 0.057 0.810 1
Au9 Au 0.500 0.190 0.057 1
Na3 Na 0.000 0.673 0.173 1
Zn4 Zn 0.000 0.633 0.867 1
Na4 Na 0.000 0.827 0.673 1
Li2 Li 0.000 0.500 0.500 1
Au10 Au 0.500 0.310 0.557 1
```

***

No. 5
## Tb2Tm3Hg2 (PBE)

Data for an optimized crystal structure of Tb2Tm3Hg2.

Values from the calculation:
Energy of formation, eV/atom: -0.235

```
data_Tb2Tm3Hg2
_chemical_formula_sum 'Tb2 Tm3 Hg2'
_space_group_name_H-M_alt 'P 1'
_space_group_IT_number 1
_space_group_name_Hall 'P 1'
_cell_length_a 5.312
_cell_length_b 5.316
_cell_length_c 8.446
_cell_angle_alpha 108.27
_cell_angle_beta 90.00
_cell_angle_gamma 119.97
loop_
_atom_site_label
_atom_site_type_symbol
_atom_site_fract_x
_atom_site_fract_y
_atom_site_fract_z
_atom_site_occupancy
Hg1 Hg 0.786 0.571 0.857 1
Tm1 Tm 0.500 0.000 0.000 1
Tm2 Tm 0.343 0.686 0.529 1
Tb1 Tb 0.925 0.849 0.273 1
Hg2 Hg 0.214 0.429 0.143 1
Tb2 Tb 0.075 0.151 0.727 1
Tm3 Tm 0.657 0.314 0.471 1
```

***

No. 6
## SrLa3 (PBE)

Data for an optimized crystal structure of SrLa3.

Values from the calculation:
Energy of formation, eV/atom: 0.114

```
data_SrLa3
_chemical_formula_sum 'Sr1 La3'
_space_group_name_H-M_alt 'P 1'
_space_group_IT_number 1
_space_group_name_Hall 'P 1'
_cell_length_a 7.323
_cell_length_b 7.323
_cell_length_c 7.323
_cell_angle_alpha 149.53
_cell_angle_beta 125.00
_cell_angle_gamma 64.18
loop_
_atom_site_label
_atom_site_type_symbol
_atom_site_fract_x
_atom_site_fract_y
_atom_site_fract_z
_atom_site_occupancy
La1 La 0.994 0.989 0.005 1
La2 La 0.913 0.250 0.663 1
Sr1 Sr 0.410 0.750 0.660 1
La3 La 0.516 0.511 0.005 1
```

***

No. 7
## MgAlTlPb (PBE)

Data for an optimized crystal structure of MgAlTlPb.

Values from the calculation:
Energy of formation, eV/atom: 0.130

```
data_MgAlTlPb
_chemical_formula_sum 'Mg1 Al1 Tl1 Pb1'
_space_group_name_H-M_alt 'P 1'
_space_group_IT_number 1
_space_group_name_Hall 'P 1'
_cell_length_a 5.250
_cell_length_b 5.250
_cell_length_c 5.250
_cell_angle_alpha 60.00
_cell_angle_beta 60.00
_cell_angle_gamma 60.00
loop_
_atom_site_label
_atom_site_type_symbol
_atom_site_fract_x
_atom_site_fract_y
_atom_site_fract_z
_atom_site_occupancy
Mg1 Mg 0.750 0.750 0.750 1
Al1 Al 0.250 0.250 0.250 1
Pb1 Pb 0.500 0.500 0.500 1
Tl1 Tl 0.000 0.000 0.000 1
```

***

No. 8
## Ca2MnCr (PBE)

Data for an optimized crystal structure of Ca2MnCr.

Values from the calculation:
Energy of formation, eV/atom: 0.806

```
data_Ca2MnCr
_chemical_formula_sum 'Ca2 Mn1 Cr1'
_space_group_name_H-M_alt 'P 1'
_space_group_IT_number 1
_space_group_name_Hall 'P 1'
_cell_length_a 10.182
_cell_length_b 10.182
_cell_length_c 10.182
_cell_angle_alpha 20.02
_cell_angle_beta 20.02
_cell_angle_gamma 20.02
loop_
_atom_site_label
_atom_site_type_symbol
_atom_site_fract_x
_atom_site_fract_y
_atom_site_fract_z
_atom_site_occupancy
Mn1 Mn 0.750 0.750 0.750 1
Cr1 Cr 0.250 0.250 0.250 1
Ca1 Ca 0.498 0.498 0.498 1
Ca2 Ca 0.002 0.002 0.002 1
```

***

No. 9
## FeHg2As (PBE)

Data for an optimized crystal structure of FeHg2As.

Values from the calculation:
Energy of formation, eV/atom: 0.516

```
data_FeHg2As
_chemical_formula_sum 'Fe1 Hg2 As1'
_space_group_name_H-M_alt 'P 1'
_space_group_IT_number 1
_space_group_name_Hall 'P 1'
_cell_length_a 3.826
_cell_length_b 3.850
_cell_length_c 5.424
_cell_angle_alpha 90.00
_cell_angle_beta 90.00
_cell_angle_gamma 90.00
loop_
_atom_site_label
_atom_site_type_symbol
_atom_site_fract_x
_atom_site_fract_y
_atom_site_fract_z
_atom_site_occupancy
As1 As 0.500 0.500 0.250 1
Hg1 Hg 0.000 0.000 0.504 1
Fe1 Fe 0.500 0.500 0.750 1
Hg2 Hg 0.000 0.000 0.996 1
```

***

No. 10
## VIrPt2 (PBE)

Data for an optimized crystal structure of VIrPt2.

Values from the calculation:
Energy of formation, eV/atom: -0.031

```
data_VIrPt2
_chemical_formula_sum 'V1 Ir1 Pt2'
_space_group_name_H-M_alt 'P 1'
_space_group_IT_number 1
_space_group_name_Hall 'P 1'
_cell_length_a 4.405
_cell_length_b 4.405
_cell_length_c 4.405
_cell_angle_alpha 60.00
_cell_angle_beta 60.00
_cell_angle_gamma 60.00
loop_
_atom_site_label
_atom_site_type_symbol
_atom_site_fract_x
_atom_site_fract_y
_atom_site_fract_z
_atom_site_occupancy
V1 V 0.000 0.000 0.000 1
Pt1 Pt 0.750 0.750 0.750 1
Ir1 Ir 0.500 0.500 0.500 1
Pt2 Pt 0.250 0.250 0.250 1
```

***

No. 11
## SrSb3Cl (PBE)

Data for an optimized crystal structure of SrSb3Cl.

Values from the calculation:
E_form (uncorrected), eV per atom: 0.73

```
data_SrSb3Cl
_chemical_formula_sum 'Sr1 Sb3 Cl1'
_space_group_name_H-M_alt 'P 1'
_space_group_IT_number 1
_space_group_name_Hall 'P 1'
_cell_length_a 6.079
_cell_length_b 6.079
_cell_length_c 6.079
_cell_angle_alpha 90.00
_cell_angle_beta 90.00
_cell_angle_gamma 90.00
loop_
_atom_site_label
_atom_site_type_symbol
_atom_site_fract_x
_atom_site_fract_y
_atom_site_fract_z
_atom_site_occupancy
Sr1 Sr 0.000 0.000 0.000 1
Sb1 Sb 0.500 0.000 0.000 1
Sb2 Sb 0.000 0.500 0.000 1
Sb3 Sb 0.000 0.000 0.500 1
Cl1 Cl 0.500 0.500 0.500 1
```

***

No. 12
## SmZn2Ga (PBE)

Data for an optimized crystal structure of SmZn2Ga.

Values from the calculation:
Energy of formation, eV/atom: -0.244

```
data_SmZn2Ga
_chemical_formula_sum 'Sm1 Zn2 Ga1'
_space_group_name_H-M_alt 'P 1'
_space_group_IT_number 1
_space_group_name_Hall 'P 1'
_cell_length_a 3.550
_cell_length_b 5.329
_cell_length_c 5.329
_cell_angle_alpha 121.61
_cell_angle_beta 90.00
_cell_angle_gamma 90.00
loop_
_atom_site_label
_atom_site_type_symbol
_atom_site_fract_x
_atom_site_fract_y
_atom_site_fract_z
_atom_site_occupancy
Zn1 Zn 0.500 0.945 0.555 1
Sm1 Sm 0.000 0.945 0.055 1
Ga1 Ga 0.500 0.445 0.555 1
Zn2 Zn 0.500 0.445 0.055 1
```

***

Number 1: DOS at the Fermi energy 5.20 states/eV per cell, spin magnetization 4.074 μB per cell. Number 2: DOS at the Fermi energy 4.84 states/eV per cell, spin magnetization 0.891 μB per cell. Number 3: DOS at the Fermi energy 5.65 states/eV per cell, spin magnetization 0.003 μB per cell. Number 4: DOS at the Fermi energy 4.96 states/eV per cell, spin magnetization 0.000 μB per cell. Number 5: DOS at the Fermi energy 8.10 states/eV per cell, spin magnetization 0.000 μB per cell. Number 6: DOS at the Fermi energy 6.71 states/eV per cell, spin magnetization 0.000 μB per cell. Number 7: DOS at the Fermi energy 2.41 states/eV per cell, spin magnetization 0.000 μB per cell. Number 8: DOS at the Fermi energy 4.49 states/eV per cell, spin magnetization 8.193 μB per cell. Number 9: DOS at the Fermi energy 4.34 states/eV per cell, spin magnetization 2.958 μB per cell. Number 10: DOS at the Fermi energy 4.56 states/eV per cell, spin magnetization 0.001 μB per cell. Number 11: DOS at the Fermi energy 5.88 states/eV per cell, spin magnetization 0.000 μB per cell. Number 12: DOS at the Fermi energy 1.90 states/eV per cell, spin magnetization 0.000 μB per cell.